A plane-wave DFT calculation with PBE was carried out for a relaxed structure of TmCdInTe3.

Lattice parameters (Å, degrees): 11.531 7.958 7.958 147.90 90.00 90.00
Element x y z (fractional)
Te: 0.953 0.638 0.362
Te: 0.750 0.918 0.082
Te: 0.250 0.082 0.918
Te: 0.453 0.362 0.638
Te: 0.047 0.362 0.638
Te: 0.547 0.638 0.362
Tm: 0.000 0.000 0.000
Tm: 0.500 0.000 0.000
Cd: 0.250 0.463 0.537
Cd: 0.750 0.537 0.463
In: 0.750 0.241 0.759
In: 0.250 0.759 0.241

=====

A plane-wave DFT calculation with PBE was carried out for a relaxed structure of TmCdInTe3.

Lattice parameters (Å, degrees): 13.105 4.491 13.289 90.00 90.00 90.00
Element x y z (fractional)
Te: 0.086 0.000 0.434
Te: 0.914 0.500 0.566
Te: 0.414 0.500 0.934
Te: 0.761 0.000 0.830
Te: 0.261 0.000 0.670
Te: 0.472 0.000 0.342
Te: 0.239 0.500 0.170
Te: 0.586 0.000 0.066
Te: 0.528 0.500 0.658
Te: 0.028 0.500 0.842
Te: 0.972 0.000 0.158
Te: 0.739 0.500 0.330
In: 0.834 0.500 0.004
In: 0.334 0.500 0.496
In: 0.666 0.000 0.504
In: 0.166 0.000 0.996
Tm: 0.531 0.000 0.824
Tm: 0.469 0.500 0.176
Tm: 0.031 0.000 0.676
Tm: 0.969 0.500 0.324
Cd: 0.756 0.000 0.197
Cd: 0.744 0.500 0.697
Cd: 0.256 0.000 0.303
Cd: 0.244 0.500 0.803

=====

A plane-wave DFT calculation with PBE was carried out for a relaxed structure of TmCdInTe3.

Lattice parameters (Å, degrees): 8.681 4.415 11.154 90.00 107.66 90.00
Element x y z (fractional)
Cd: 0.076 0.250 0.611
Cd: 0.924 0.750 0.389
Tm: 0.687 0.250 0.142
Tm: 0.313 0.750 0.858
Te: 0.739 0.250 0.440
Te: 0.934 0.750 0.139
Te: 0.441 0.750 0.142
Te: 0.066 0.250 0.861
Te: 0.559 0.250 0.858
Te: 0.261 0.750 0.560
In: 0.257 0.250 0.279
In: 0.743 0.750 0.721

=====

A plane-wave DFT calculation with PBE was carried out for a relaxed structure of TmCdInTe3.

Lattice parameters (Å, degrees): 9.793 9.793 9.707 103.07 103.07 25.64
Element x y z (fractional)
Te: 0.680 0.680 0.310
Te: 0.663 0.663 0.862
Te: 0.500 0.500 0.500
Te: 0.320 0.320 0.690
Te: 0.337 0.337 0.138
Te: 0.000 0.000 0.000
In: 0.136 0.136 0.575
In: 0.864 0.864 0.425
Tm: 0.176 0.176 0.087
Tm: 0.824 0.824 0.913
Cd: 0.526 0.526 0.219
Cd: 0.474 0.474 0.781

=====

A plane-wave DFT calculation with PBE was carried out for a relaxed structure of TmCdInTe3.

Lattice parameters (Å, degrees): 11.570 4.432 15.145 90.00 90.00 90.00
Element x y z (fractional)
Tm: 0.513 0.250 0.253
Tm: 0.487 0.750 0.747
Tm: 0.987 0.750 0.753
Tm: 0.013 0.250 0.247
Cd: 0.760 0.750 0.284
Cd: 0.240 0.250 0.716
Cd: 0.740 0.250 0.784
Cd: 0.260 0.750 0.216
Te: 0.561 0.750 0.390
Te: 0.465 0.750 0.115
Te: 0.738 0.750 0.665
Te: 0.439 0.250 0.610
Te: 0.535 0.250 0.885
Te: 0.238 0.750 0.835
Te: 0.035 0.250 0.615
Te: 0.061 0.750 0.110
Te: 0.965 0.750 0.385
Te: 0.262 0.250 0.335
Te: 0.939 0.250 0.890
Te: 0.762 0.250 0.165
In: 0.269 0.250 0.011
In: 0.769 0.250 0.489
In: 0.731 0.750 0.989
In: 0.231 0.750 0.511

=====

A plane-wave DFT calculation with PBE was carried out for a relaxed structure of TmCdInTe3.

Lattice parameters (Å, degrees): 8.640 4.658 18.571 90.00 90.00 90.00
Element x y z (fractional)
Te: 0.126 0.250 0.941
Te: 0.768 0.250 0.795
Te: 0.506 0.750 0.925
Te: 0.732 0.750 0.295
Te: 0.494 0.250 0.075
Te: 0.874 0.750 0.059
Te: 0.268 0.250 0.705
Te: 0.006 0.750 0.575
Te: 0.374 0.750 0.441
Te: 0.626 0.250 0.559
Te: 0.232 0.750 0.205
Te: 0.994 0.250 0.425
Cd: 0.417 0.250 0.841
Cd: 0.083 0.750 0.341
Cd: 0.583 0.750 0.159
Cd: 0.917 0.250 0.659
In: 0.557 0.750 0.698
In: 0.943 0.250 0.198
In: 0.057 0.750 0.802
In: 0.443 0.250 0.302
Tm: 0.266 0.250 0.539
Tm: 0.734 0.750 0.461
Tm: 0.234 0.750 0.039
Tm: 0.766 0.250 0.961

=====

A plane-wave DFT calculation with PBE was carried out for a relaxed structure of Tl3CdIn2.

Lattice parameters (Å, degrees): 6.462 6.462 5.427 90.00 90.00 120.05
Element x y z (fractional)
Tl: 0.500 0.500 0.500
Tl: 0.000 0.500 0.500
Tl: 0.500 0.000 0.500
Cd: 0.000 0.000 0.000
In: 0.333 0.667 0.000
In: 0.667 0.333 0.000

=====

A plane-wave DFT calculation with PBE was carried out for a relaxed structure of TlCdIn2.

Lattice parameters (Å, degrees): 5.369 5.369 5.369 60.00 60.00 60.00
Element x y z (fractional)
In: 0.250 0.250 0.250
In: 0.500 0.500 0.500
Tl: 0.000 0.000 0.000
Cd: 0.750 0.750 0.750

=====

A plane-wave DFT calculation with PBE was carried out for a relaxed structure of Tm3Cd4In2.

Lattice parameters (Å, degrees): 5.996 5.996 9.233 116.34 116.34 48.38
Element x y z (fractional)
Tm: 0.000 0.000 0.500
Tm: 0.666 0.666 0.170
Tm: 0.334 0.334 0.830
Cd: 0.292 0.292 0.463
Cd: 0.708 0.708 0.537
Cd: 0.926 0.926 0.091
Cd: 0.074 0.074 0.909
In: 0.609 0.609 0.773
In: 0.391 0.391 0.227

=====

A plane-wave DFT calculation with PBE was carried out for a relaxed structure of TmCdIn2.

Lattice parameters (Å, degrees): 4.599 4.599 4.496 90.00 90.00 90.00
Element x y z (fractional)
Tm: 0.500 0.500 0.500
In: 0.500 0.000 0.000
In: 0.000 0.500 0.000
Cd: 0.000 0.000 0.500

=====

no.,E (eV per formula unit)
1,-21.94
2,-21.59
3,-21.90
4,-21.61
5,-21.94
6,-21.41
7,-12.28
8,-8.54
9,-25.59
10,-12.26